CePaHgPd | PBE | optimized geometry

Computed properties:
VASP energy, eV/atom: -5.37
SG: F-43m, No. 216
Theoretical density, g/cm³: 11.6
Density of states at the Fermi level, states/eV/f.u.: 10.8

Lattice parameters (Å, degrees): 5.1660 5.1660 5.1660 60.00 60.00 60.00
Positions (direct):
1 Pd 0.7500 0.7500 0.7500
2 Pa 0.0000 0.0000 0.0000
3 Hg 0.2500 0.2500 0.2500
4 Ce 0.5000 0.5000 0.5000

AsIrAuClO | PBE | optimized geometry

Computed properties:
SG: P1, No. 1
Raw formation energy, kJ/mol of formula units: -18.1
Theoretical density, g/cm³: 8.0
Density of states at the Fermi level, states/eV/f.u.: 2.8

Lattice parameters (Å, degrees): 3.6157 5.7629 5.8690 113.16 105.97 92.70
Positions (direct):
1 As 0.4933 0.0800 0.0365
2 Ir 0.8707 0.0765 0.7644
3 Au 0.7293 0.3840 0.4936
4 Cl 0.9926 0.5434 0.9719
5 O 0.7237 0.7568 0.4845

NaPmNdCd | PBE | optimized geometry

Computed properties:
VASP energy, eV/atom: -2.93
SG: F-43m, No. 216
Theoretical density, g/cm³: 5.9
Density of states at the Fermi level, states/eV/f.u.: 5.4

Lattice parameters (Å, degrees): 5.5345 5.5345 5.5345 60.00 60.00 60.00
Positions (direct):
1 Na 0.2500 0.2500 0.2500
2 Cd 0.7500 0.7500 0.7500
3 Nd 0.0000 0.0000 0.0000
4 Pm 0.5000 0.5000 0.5000

ZrSbPS2 | PBE | optimized geometry

Computed properties:
SG: P4/mmm, No. 123
Raw formation energy, kJ/mol of formula units: -50.6
Theoretical density, g/cm³: 4.1
Density of states at the Fermi level, states/eV/f.u.: 3.9

Lattice parameters (Å, degrees): 4.8822 4.8822 5.2575 90.00 90.00 90.00
Positions (direct):
1 Sb 0.5000 0.5000 0.5000
2 S 0.0000 0.5000 0.0000
3 S 0.5000 0.0000 0.0000
4 Zr 0.0000 0.0000 0.0000
5 P 0.0000 0.0000 0.5000

ErB3Mo | PBE | optimized geometry

Computed properties:
VASP energy, eV/atom: -7.59
SG: Cmcm, No. 63
Theoretical density, g/cm³: 8.9
Density of states at the Fermi level, states/eV/f.u.: 1.2

Lattice parameters (Å, degrees): 3.1819 3.5029 10.0442 100.04 90.00 90.00
Positions (direct):
1 Er 0.2500 0.0736 0.1472
2 Er 0.7500 0.9264 0.8528
3 B 0.2500 0.3769 0.7537
4 B 0.7500 0.6231 0.2463
5 B 0.2500 0.4771 0.9541
6 B 0.7500 0.5229 0.0459
7 B 0.7500 0.3285 0.6571
8 B 0.2500 0.6715 0.3429
9 Mo 0.2500 0.7927 0.5854
10 Mo 0.7500 0.2073 0.4146

Pm3Pr8Tm | PBE | optimized geometry

Computed properties:
VASP energy, eV/atom: -4.21
SG: I-42m, No. 121
Theoretical density, g/cm³: 6.2
Density of states at the Fermi level, states/eV/f.u.: 19.2

Lattice parameters (Å, degrees): 8.5996 8.5997 8.5997 93.90 117.78 117.78
Positions (direct):
1 Pm 0.5000 0.7500 0.2500
2 Pm 0.5000 0.2500 0.7500
3 Pm 0.0000 0.5000 0.5000
4 Pr 0.4948 0.2407 0.2407
5 Pr 0.5052 0.7458 0.7458
6 Pr 0.0000 0.7593 0.2542
7 Pr 0.0000 0.2542 0.7593
8 Pr 0.2490 0.3727 0.3727
9 Pr 0.7510 0.1236 0.1236
10 Pr 0.0000 0.6273 0.8764
11 Pr 0.0000 0.8764 0.6273
12 Tm 0.0000 0.0000 0.0000

Pm3AgBi | PBE | optimized geometry

Computed properties:
VASP energy, eV/atom: -4.53
SG: C2/c, No. 15
Theoretical density, g/cm³: 7.8
Density of states at the Fermi level, states/eV/f.u.: 4.8

Lattice parameters (Å, degrees): 7.4457 9.4591 9.4591 93.02 100.52 100.52
Positions (direct):
1 Pm 0.6053 0.2493 0.0936
2 Pm 0.1053 0.0936 0.2493
3 Pm 0.8947 0.9064 0.7507
4 Pm 0.3947 0.7507 0.9064
5 Pm 0.9571 0.2836 0.5471
6 Pm 0.4571 0.5471 0.2836
7 Pm 0.5429 0.4529 0.7164
8 Pm 0.0429 0.7164 0.4529
9 Pm 0.8476 0.6733 0.0617
10 Pm 0.3476 0.0617 0.6733
11 Pm 0.6524 0.9383 0.3267
12 Pm 0.1524 0.3267 0.9383
13 Ag 0.2500 0.8038 0.1962
14 Ag 0.2500 0.0149 0.9851
15 Ag 0.7500 0.1962 0.8038
16 Ag 0.7500 0.9851 0.0149
17 Bi 0.0160 0.4249 0.2441
18 Bi 0.5160 0.2441 0.4249
19 Bi 0.4840 0.7559 0.5751
20 Bi 0.9840 0.5751 0.7559

Sc3Ag5Te12 | PBE | optimized geometry

Computed properties:
SG: Ia-3d, No. 230
Raw formation energy, kJ/mol of formula units: -571.2
Theoretical density, g/cm³: 6.0
Density of states at the Fermi level, states/eV/f.u.: 15.2

Lattice parameters (Å, degrees): 14.6762 14.6762 14.6762 109.47 109.47 109.47
Positions (direct):
1 Sc 0.7500 0.3750 0.1250
2 Sc 0.8750 0.7500 0.1250
3 Sc 0.3750 0.7500 0.6250
4 Sc 0.2500 0.1250 0.3750
5 Sc 0.8750 0.1250 0.2500
6 Sc 0.3750 0.6250 0.2500
7 Sc 0.6250 0.3750 0.7500
8 Sc 0.1250 0.8750 0.7500
9 Sc 0.7500 0.8750 0.6250
10 Sc 0.6250 0.2500 0.3750
11 Sc 0.1250 0.2500 0.8750
12 Sc 0.2500 0.6250 0.8750
13 Ag 0.1250 0.3750 0.2500
14 Ag 0.0000 0.5000 0.0000
15 Ag 0.0000 0.0000 0.0000
16 Ag 0.3750 0.2500 0.1250
17 Ag 0.5000 0.0000 0.5000
18 Ag 0.5000 0.5000 0.0000
19 Ag 0.1250 0.7500 0.3750
20 Ag 0.7500 0.1250 0.8750
21 Ag 0.7500 0.6250 0.3750
22 Ag 0.3750 0.1250 0.7500
23 Ag 0.6250 0.8750 0.2500
24 Ag 0.5000 0.5000 0.5000
25 Ag 0.5000 0.0000 0.0000
26 Ag 0.0000 0.0000 0.5000
27 Ag 0.2500 0.3750 0.6250
28 Ag 0.2500 0.8750 0.1250
29 Ag 0.0000 0.5000 0.5000
30 Ag 0.8750 0.2500 0.6250
31 Ag 0.6250 0.7500 0.8750
32 Ag 0.8750 0.6250 0.7500
33 Te 0.7312 0.1405 0.0581
34 Te 0.3270 0.5581 0.4177
35 Te 0.9419 0.3595 0.2688
36 Te 0.5581 0.2312 0.1405
37 Te 0.5907 0.7312 0.6730
38 Te 0.9419 0.5823 0.1730
39 Te 0.3270 0.7688 0.4093
40 Te 0.0823 0.9093 0.1405
41 Te 0.5823 0.9419 0.6730
42 Te 0.7312 0.5907 0.1730
43 Te 0.7688 0.4419 0.3595
44 Te 0.8270 0.9177 0.0581
45 Te 0.1405 0.7312 0.5581
46 Te 0.3595 0.4177 0.0907
47 Te 0.0907 0.9177 0.3595
48 Te 0.4093 0.1405 0.5823
49 Te 0.0907 0.1730 0.2312
50 Te 0.4419 0.6730 0.0823
51 Te 0.8270 0.9093 0.2688
52 Te 0.1405 0.4093 0.0823
53 Te 0.3595 0.9419 0.7688
54 Te 0.5823 0.6405 0.4093
55 Te 0.9177 0.8270 0.5581
56 Te 0.7688 0.3270 0.9093
57 Te 0.4177 0.3595 0.5907
58 Te 0.0823 0.1730 0.4419
59 Te 0.2312 0.6730 0.0907
60 Te 0.1730 0.0907 0.7312
61 Te 0.6405 0.0581 0.2312
62 Te 0.8595 0.5907 0.9177
63 Te 0.5581 0.3270 0.9177
64 Te 0.5907 0.8595 0.4177
65 Te 0.9093 0.8270 0.7688
66 Te 0.9093 0.0823 0.6405
67 Te 0.8595 0.2688 0.4419
68 Te 0.1730 0.0823 0.9419
69 Te 0.6405 0.5823 0.9093
70 Te 0.4177 0.0581 0.3270
71 Te 0.2688 0.4093 0.8270
72 Te 0.2312 0.5581 0.6405
73 Te 0.9177 0.0907 0.8595
74 Te 0.6730 0.2312 0.5907
75 Te 0.4419 0.7688 0.8595
76 Te 0.0581 0.4177 0.8270
77 Te 0.4093 0.2688 0.3270
78 Te 0.0581 0.6405 0.7312
79 Te 0.6730 0.4419 0.5823
80 Te 0.2688 0.8595 0.9419

KLiIN2 | PBE | optimized geometry

Computed properties:
SG: P4/mmm, No. 123
Raw formation energy, kJ/mol of formula units: 472.2
Theoretical density, g/cm³: 2.6
Density of states at the Fermi level, states/eV/f.u.: 2.2

Lattice parameters (Å, degrees): 4.7346 4.7346 5.7316 90.00 90.00 90.00
Positions (direct):
1 I 0.0000 0.0000 0.5000
2 K 0.5000 0.5000 0.5000
3 Li 0.0000 0.0000 0.0000
4 N 0.0000 0.5000 0.0000
5 N 0.5000 0.0000 0.0000

Ce2TmPuSb4 | PBE | optimized geometry

Computed properties:
SG: P2/m, No. 10
Raw formation energy, kJ/mol of formula units: -725.5
Theoretical density, g/cm³: 7.9
Density of states at the Fermi level, states/eV/f.u.: 24.9

Lattice parameters (Å, degrees): 4.4491 7.7102 7.6571 109.57 90.00 90.00
Positions (direct):
1 Ce 0.5000 0.0000 0.5000
2 Ce 0.0000 0.5000 0.5000
3 Tm 0.0000 0.0000 0.0000
4 Pu 0.5000 0.5000 0.0000
5 Sb 0.5000 0.2446 0.2432
6 Sb 0.5000 0.7554 0.7568
7 Sb 0.0000 0.2488 0.7552
8 Sb 0.0000 0.7512 0.2448

Li2InAsSe4 | PBE | optimized geometry

Computed properties:
SG: Imma, No. 74
Raw formation energy, kJ/mol of formula units: -508.8
Theoretical density, g/cm³: 5.0

Lattice parameters (Å, degrees): 7.8436 7.8436 7.8898 120.19 120.19 89.82
Positions (direct):
1 Li 0.5000 0.0000 0.0000
2 Li 0.5000 0.0000 0.5000
3 Li 0.0000 0.0000 0.5000
4 Li 0.5000 0.5000 0.0000
5 In 0.0000 0.5000 0.0000
6 In 0.0000 0.5000 0.5000
7 As 0.5000 0.5000 0.5000
8 As 0.0000 0.0000 0.0000
9 Se 0.2469 0.7526 0.9995
10 Se 0.7474 0.2531 0.5005
11 Se 0.2526 0.7469 0.4995
12 Se 0.7531 0.2474 0.0005
13 Se 0.7473 0.7526 0.9929
14 Se 0.7474 0.7527 0.5071
15 Se 0.2526 0.2473 0.4929
16 Se 0.2527 0.2474 0.0071

Er3MgSb4 | PBE | optimized geometry

Computed properties:
SG: Pm-3m, No. 221
Raw formation energy, kJ/mol of formula units: -628.0
Theoretical density, g/cm³: 7.3
Density of states at the Fermi level, states/eV/f.u.: 4.1

Lattice parameters (Å, degrees): 6.1433 6.1433 6.1433 90.00 90.00 90.00
Positions (direct):
1 Sb 0.5000 0.0000 0.0000
2 Sb 0.0000 0.5000 0.0000
3 Sb 0.0000 0.0000 0.5000
4 Sb 0.5000 0.5000 0.5000
5 Mg 0.0000 0.0000 0.0000
6 Er 0.0000 0.5000 0.5000
7 Er 0.5000 0.0000 0.5000
8 Er 0.5000 0.5000 0.0000

What is the theoretical density in the tenth record? 7.9 g/cm³

theoretical density of number 12 (Er3MgSb4)? 7.3 g/cm³

Which formula does entry 1 have? CePaHgPd